Entry from Alexandria via LeMat-Bulk: a geometry-optimized VBiPb2O5 structure (GGA+U).

Lattice parameters (Å, degrees): 3.4704 8.0872 11.1796 90.00 90.00 102.39
Last column: nearest neighbours and their distance in Å.
Positions (direct):
Pb1 0.1230 0.2461 0.2798  3 O 2.40-2.41
Pb2 0.1357 0.2713 0.6562  3 O 2.23-2.40
Pb3 0.8643 0.7287 0.1562  3 O 2.23-2.40
Pb4 0.8770 0.7539 0.7798  3 O 2.40-2.41
O1 0.4819 0.9638 0.7817  1 Bi 2.25, 2 Pb 2.40
O2 0.3277 0.6553 0.4085  1 Bi 2.18, 2 V 2.23
O3 0.5181 0.0362 0.2817  1 Bi 2.25, 2 Pb 2.40
O4 0.0908 0.1816 0.0690  1 V 2.04, 2 Bi 2.23
O5 0.9092 0.8184 0.5690  1 V 2.04, 2 Bi 2.23
O6 0.2759 0.5518 0.6333  2 V 2.16, 1 Pb 2.23
O7 0.3409 0.6817 0.0110  1 V 1.99
O8 0.7241 0.4482 0.1333  2 V 2.16, 1 Pb 2.23
O9 0.6723 0.3447 0.9085  1 Bi 2.18, 2 V 2.23
O10 0.6591 0.3183 0.5110  1 V 1.99
Bi1 0.5402 0.0804 0.9656  4 O 2.18-2.25
Bi2 0.4598 0.9196 0.4656  4 O 2.18-2.25
V1 0.2152 0.4303 0.0190  4 O 1.99-2.16
V2 0.7848 0.5697 0.5190  4 O 1.99-2.16

Properties
**Electronic total energy**: -6.04 eV per atom